(1)
DFT (PBE) results for crystalline Sm2Np at its relaxed geometry.

POSCAR file:
```
Sm2Np
1.0
-5.6069 6.0389 -3.2744
-2.2913 7.0337 4.8892
2.9554 8.0701 -2.1837
Sm Np
4 2
direct
0.8750 0.8750 0.3750 Sm
0.8750 0.3750 0.8750 Sm
0.8750 0.8750 0.8750 Sm
0.3750 0.8750 0.8750 Sm
0.7500 0.7500 0.7500 Np
0.0000 0.0000 0.0000 Np
```

DFT formation energy = 2398 meV per atom
Symmetry = Fd-3m



(2)
DFT (PBE) results for crystalline SmNp at its relaxed geometry.

POSCAR file:
```
SmNp
1.0
3.3430 0.0000 0.0000
-1.6715 2.8951 0.0000
0.0000 0.0000 5.8818
Np Sm
1 1
direct
0.6667 0.3333 0.7500 Np
0.3333 0.6667 0.2500 Sm
```

DFT formation energy = 504 meV per atom
Symmetry = P-6m2
Offset from the most stable computed form = 0.0 kJ/mol of atoms



(3)
DFT (PBE) results for crystalline SmNp at its relaxed geometry.

POSCAR file:
```
SmNp
1.0
0.0000 3.1980 3.1980
3.1980 0.0000 3.1980
3.1980 3.1980 0.0000
Np Sm
1 1
direct
0.0000 0.0000 0.0000 Np
0.2500 0.2500 0.2500 Sm
```

DFT formation energy = 2098 meV per atom
Symmetry = F-43m
Offset from the most stable computed form = 153.7 kJ/mol of atoms



(4)
DFT (PBE) results for crystalline SrSmNp at its relaxed geometry.

POSCAR file:
```
SrSmNp
1.0
0.0000 3.9611 3.9611
3.9611 0.0000 3.9611
3.9611 3.9611 0.0000
Sm Np Sr
1 1 1
direct
0.0000 0.0000 0.0000 Sm
0.2500 0.2500 0.2500 Np
0.7500 0.7500 0.7500 Sr
```

Symmetry = F-43m
Offset from the most stable computed form = 0.0 kJ/mol of atoms



(5)
DFT (PBE) results for crystalline SmNpTa at its relaxed geometry.

POSCAR file:
```
SmNpTa
1.0
0.0000 3.3601 3.3601
3.3601 0.0000 3.3601
3.3601 3.3601 0.0000
Np Ta Sm
1 1 1
direct
0.0000 0.0000 0.0000 Np
0.7500 0.7500 0.7500 Ta
0.2500 0.2500 0.2500 Sm
```

DFT formation energy = 1470 meV per atom
Symmetry = F-43m
Offset from the most stable computed form = 0.0 kJ/mol of atoms



(6)
DFT (PBE) results for crystalline SmNpTc at its relaxed geometry.

POSCAR file:
```
SmNpTc
1.0
-1.0076 -1.1682 4.3118
-4.3078 -1.0572 1.1388
-1.1072 -4.3296 1.0001
Sm Tc Np
1 1 1
direct
0.2500 0.2500 0.2500 Sm
0.7500 0.7500 0.7500 Tc
0.0000 0.0000 0.0000 Np
```

DFT formation energy = 1135 meV per atom
Symmetry = F-43m
Offset from the most stable computed form = 0.0 kJ/mol of atoms



(7)
DFT (PBE) results for crystalline SmNpTe at its relaxed geometry.

POSCAR file:
```
SmNpTe
1.0
3.0204 -3.8961 1.4218
2.2536 0.0508 4.6089
-1.5550 -3.2511 3.6519
Sm Te Np
1 1 1
direct
0.7500 0.7500 0.7500 Sm
0.0000 0.0000 0.0000 Te
0.2500 0.2500 0.2500 Np
```

Symmetry = F-43m
Offset from the most stable computed form = 0.0 kJ/mol of atoms



(8)
DFT (PBE) results for crystalline SmThNp at its relaxed geometry.

POSCAR file:
```
SmThNp
1.0
0.0000 3.6971 3.6971
3.6971 0.0000 3.6971
3.6971 3.6971 0.0000
Th Np Sm
1 1 1
direct
0.7500 0.7500 0.7500 Th
0.0000 0.0000 0.0000 Np
0.2500 0.2500 0.2500 Sm
```

DFT formation energy = 1037 meV per atom
Symmetry = F-43m
Offset from the most stable computed form = 0.0 kJ/mol of atoms



(9)
DFT (PBE) results for crystalline SmTmNp at its relaxed geometry.

POSCAR file:
```
SmTmNp
1.0
0.0000 3.7378 3.7378
3.7378 0.0000 3.7378
3.7378 3.7378 0.0000
Sm Np Tm
1 1 1
direct
0.7500 0.7500 0.7500 Sm
0.2500 0.2500 0.2500 Np
0.0000 0.0000 0.0000 Tm
```

DFT formation energy = 1155 meV per atom
Symmetry = F-43m
Offset from the most stable computed form = 0.0 kJ/mol of atoms



(10)
DFT (PBE) results for crystalline SmNpW at its relaxed geometry.

POSCAR file:
```
SmNpW
1.0
0.0000 3.3814 3.3814
3.3814 0.0000 3.3814
3.3814 3.3814 0.0000
W Np Sm
1 1 1
direct
0.2500 0.2500 0.2500 W
0.0000 0.0000 0.0000 Np
0.5000 0.5000 0.5000 Sm
```

DFT formation energy = 976 meV per atom
Symmetry = F-43m
Offset from the most stable computed form = 0.0 kJ/mol of atoms



(11)
DFT (PBE) results for crystalline SmYNp at its relaxed geometry.

POSCAR file:
```
SmYNp
1.0
3.4421 2.0248 3.3110
-0.3077 -1.1046 5.0592
3.5713 -3.0434 2.2123
Np Y Sm
1 1 1
direct
0.2500 0.2500 0.2500 Np
0.7500 0.7500 0.7500 Y
0.0000 0.0000 0.0000 Sm
```

DFT formation energy = 1181 meV per atom
Symmetry = F-43m
Offset from the most stable computed form = 0.0 kJ/mol of atoms



(12)
DFT (PBE) results for crystalline SmNpZn at its relaxed geometry.

POSCAR file:
```
SmNpZn
1.0
0.0000 3.3217 3.3217
3.3217 0.0000 3.3217
3.3217 3.3217 0.0000
Np Zn Sm
1 1 1
direct
0.2500 0.2500 0.2500 Np
0.7500 0.7500 0.7500 Zn
0.0000 0.0000 0.0000 Sm
```

DFT formation energy = 918 meV per atom
Symmetry = F-43m



In eV/atom, the calculated total energy values for the records above are, in order, -5.00; -8.24; -6.64; -5.07; -8.31; -8.15; -6.98; -7.26; -6.16; -9.17; -6.80; -5.33.